1.
An optimized crystal structure of Ho12Ni6Pt, computed with PBE-GGA.

The space group is Im-3 (No. 204) and the conventional cell measures 9.518, 9.518 and 9.518 Å, with angles of 90.00, 90.00 and 90.00 degrees. The inequivalent atoms are Ho at (0.000, 0.298, 0.184), Ni at (0.000, 0.127, 0.500) and Pt at (0.000, 0.000, 0.000).

The crystal system is cubic. As for the relative energy among the computed polymorphs: 0.0 meV per atom. The calculation puts the theoretical density at 9.73 g cm⁻³. The formation energy comes out at -7.78 eV/f.u.


2.
An optimized crystal structure of Ho6Ni2Pt, computed with PBE-GGA.

The space group is Immm (No. 71) and the conventional cell measures 9.327, 9.450 and 9.576 Å, with angles of 90.00, 90.00 and 90.00 degrees. The inequivalent atoms are Ho at (0.000, 0.186, 0.250), Ho at (0.192, 0.500, 0.171), Ho at (0.231, 0.324, 0.500), Ni at (0.000, 0.342, 0.000), Ni at (0.000, 0.500, 0.380), Pt at (0.000, 0.000, 0.000) and Pt at (0.000, 0.000, 0.500).

The crystal system is orthorhombic. As for the relative energy among the computed polymorphs: 0.0 meV per atom. The calculation puts the theoretical density at 10.25 g cm⁻³. The formation energy comes out at -4.64 eV/f.u.


3.
An optimized crystal structure of Ho2NiPt, computed with PBE-GGA.

The space group is R-3m (No. 166, hexagonal axes) and the conventional cell measures 3.7871, 3.7871 and 25.4305 Å, with angles of 90.00, 90.00 and 120.00 degrees. The inequivalent atoms are Ho at (0.0000, 0.0000, 0.0990), Ni at (0.0000, 0.0000, 0.0000) and Pt at (0.0000, 0.0000, 0.5000).

The crystal system is trigonal. The calculation puts the theoretical density at 9.20 g cm⁻³. The formation energy comes out at -0.27 eV/f.u.


4.
An optimized crystal structure of Ho8Ni2Pt, computed with PBE-GGA.

The space group is C2/m (No. 12) and the conventional cell measures 17.192, 4.986 and 6.574 Å, with angles of 90.00, 104.96 and 90.00 degrees. The inequivalent atoms are Ho at (0.038, 0.000, 0.287), Ho at (0.091, 0.500, 0.951), Ho at (0.172, 0.500, 0.483), Ho at (0.204, 0.000, 0.835), Ni at (0.187, 0.000, 0.230) and Pt at (0.000, 0.500, 0.500).

The crystal system is monoclinic. As for the relative energy among the computed polymorphs: 0.0 meV per atom. The calculation puts the theoretical density at 9.95 g cm⁻³. The formation energy comes out at -4.36 eV/f.u.